FeCoRe2: relaxed, PBE.

Calculated values
VASP energy, eV for the cell shown: -79.84
Density, Mg/m³: 15.3
Energy relative to the lowest polymorph listed for this composition, eV per formula unit: 0.42
Crystal system: monoclinic

Lattice parameters (Å, degrees): 8.6612 2.6757 4.6240 90.00 100.18 90.00
Last column: nearest neighbours and their distance in Å.
Fractional positions:
Fe  0.0000  0.0000  0.0000  6 Re 2.61-2.65, 4 Co 2.67, 2 Fe 2.68
Fe  0.5000  0.5000  0.0000  6 Re 2.61-2.65, 4 Co 2.67, 2 Fe 2.68
Co  0.0000  0.5000  0.5000  6 Re 2.61-2.64, 4 Fe 2.67, 2 Co 2.68
Co  0.5000  0.0000  0.5000  6 Re 2.61-2.64, 4 Fe 2.67, 2 Co 2.68
Re  0.2472  0.0000  0.7474  3 Co 2.61-2.64, 3 Fe 2.61-2.65, 6 Re 2.66-2.68
Re  0.2528  0.5000  0.2526  3 Co 2.61-2.64, 3 Fe 2.61-2.65, 6 Re 2.66-2.68
Re  0.7472  0.5000  0.7474  3 Co 2.61-2.64, 3 Fe 2.61-2.65, 6 Re 2.66-2.68
Re  0.7528  0.0000  0.2526  3 Co 2.61-2.64, 3 Fe 2.61-2.65, 6 Re 2.66-2.68

***

FeCoRe2: relaxed, PBE.

Calculated values
VASP energy, eV for the cell shown: -40.34
Density, Mg/m³: 15.9
Energy relative to the lowest polymorph listed for this composition, eV per formula unit: 0.00
Crystal system: monoclinic

Lattice parameters (Å, degrees): 2.6138 4.0398 4.9925 90.00 104.99 90.00
Last column: nearest neighbours and their distance in Å.
Fractional positions:
Fe  0.0000  0.0000  0.0000  2 Co 2.37, 7 Re 2.58-2.61, 2 Fe 2.61
Co  0.8739  0.5000  0.7428  2 Fe 2.37, 7 Re 2.58-2.61, 2 Co 2.61
Re  0.2714  0.0000  0.5352  3 Fe 2.58-2.60, 4 Co 2.61, 6 Re 2.61-2.89
Re  0.6030  0.5000  0.2070  3 Co 2.58-2.59, 4 Fe 2.60-2.61, 6 Re 2.61-2.89

***

Fe2CoRe: relaxed, PBE.

Calculated values
VASP energy, eV for the cell shown: -71.81
Density, Mg/m³: 12.1
Crystal system: orthorhombic

Lattice parameters (Å, degrees): 2.8837 4.1664 8.1389 90.00 90.00 90.00
Last column: nearest neighbours and their distance in Å.
Fractional positions:
Fe  0.0000  0.0000  0.2464  2 Co 2.47, 2 Re 2.52, 4 Fe 2.53
Fe  0.0000  0.0000  0.7536  2 Co 2.47, 2 Re 2.52, 4 Fe 2.53
Fe  0.5000  0.5000  0.2536  2 Co 2.47, 2 Re 2.52, 4 Fe 2.53
Fe  0.5000  0.5000  0.7464  2 Co 2.47, 2 Re 2.52, 4 Fe 2.53
Co  0.0000  0.5000  0.5000  4 Fe 2.47, 4 Re 2.53
Co  0.5000  0.0000  0.0000  4 Fe 2.47, 4 Re 2.53
Re  0.0000  0.5000  0.0000  4 Fe 2.52, 4 Co 2.53
Re  0.5000  0.0000  0.5000  4 Fe 2.52, 4 Co 2.53

***

FeCoRe2: relaxed, PBE.

Calculated values
VASP energy, eV for the cell shown: -40.02
Density, Mg/m³: 15.6
Energy relative to the lowest polymorph listed for this composition, eV per formula unit: 0.32
Crystal system: tetragonal

Lattice parameters (Å, degrees): 2.6716 2.6716 7.2815 90.00 90.00 90.00
Last column: nearest neighbours and their distance in Å.
Fractional positions:
Fe  0.0000  0.0000  0.0000  4 Co 2.51, 4 Re 2.57, 4 Fe 2.67
Co  0.5000  0.5000  0.7723  4 Fe 2.51, 4 Re 2.56, 4 Co 2.67
Re  0.0000  0.0000  0.5359  4 Co 2.56, 4 Re 2.67
Re  0.5000  0.5000  0.2403  4 Fe 2.57, 8 Re 2.67-2.86

***

Number 1: energy of formation from the pure elements 0.136 eV per atom. Number 2: energy of formation from the pure elements 0.031 eV per atom. Number 3: energy of formation from the pure elements 0.143 eV per atom. Number 4: energy of formation from the pure elements 0.110 eV per atom.